Here is a relaxed YCuNiO2 crystal from Alexandria via LeMat-Bulk. Energies are from GGA+U.

Summary:
- VASP energy: -5.037 eV per atom
- Space-group type: No. 123

```
YCuNiO2
1.0
3.918 0.000 0.000
0.000 3.918 0.000
0.000 0.000 4.201
Y Cu Ni O
1 1 1 2
Direct
0.000 0.000 0.000 Y
0.500 0.500 0.500 Cu
0.500 0.500 0.000 Ni
0.000 0.500 0.500 O
0.500 0.000 0.500 O
```